1.
ZrTaCu2P after structural relaxation. Source: Alexandria via LeMat-Bulk, functional PBEsol.

```
5
Lattice="4.2124 0.0000 0.0000 0.0000 4.2124 0.0000 0.0000 0.0000 4.8140" Properties=species:S:1:pos:R:3 pbc="T T T"
Zr 0.0000 0.0000 0.0000
Ta 2.1062 2.1062 0.0000
Cu 0.0000 2.1062 2.4070
Cu 2.1062 0.0000 2.4070
P 0.0000 0.0000 2.4070
```

Results
The value obtained for the formation energy is 0.434 eV per atom. As for the space group: P4/mmm. The total moment is 0.000 μB/atom. As for the density of states at the Fermi level: 4.7 states/eV per cell.



2.
ScMn2Mo after structural relaxation. Source: Alexandria via LeMat-Bulk, functional PBEsol.

```
4
Lattice="3.0294 0.0000 0.0000 0.0000 4.0747 0.0000 0.0000 0.0000 4.4635" Properties=species:S:1:pos:R:3 pbc="T T T"
Sc 0.0000 0.0000 0.0000
Mn 0.0000 2.0373 2.2318
Mn 1.5147 2.0373 0.0000
Mo 1.5147 0.0000 2.2318
```

Results
The value obtained for the formation energy is 0.318 eV per atom. As for the space group: Pmmm. The total moment is 0.157 μB/atom. As for the density of states at the Fermi level: 4.2 states/eV per cell.



3.
SrMnAu2 after structural relaxation. Source: Alexandria via LeMat-Bulk, functional PBEsol.

```
4
Lattice="3.4095 0.0000 0.0000 0.0000 3.4095 0.0000 0.0000 0.0000 7.0763" Properties=species:S:1:pos:R:3 pbc="T T T"
Sr 0.0000 0.0000 0.0000
Mn 0.0000 0.0000 3.5382
Au 1.7047 1.7047 2.1420
Au 1.7047 1.7047 4.9343
```

Results
The value obtained for the formation energy is -0.200 eV per atom. As for the space group: P4/mmm. The total moment is 1.085 μB/atom. As for the density of states at the Fermi level: 2.0 states/eV per cell.



4.
Mg2TlAg after structural relaxation. Source: Alexandria via LeMat-Bulk, functional PBEsol.

```
4
Lattice="5.1782 -1.7145 0.0000 5.1782 1.7145 0.0000 -1.4913 0.0000 4.6922" Properties=species:S:1:pos:R:3 pbc="T T T"
Mg 0.0000 0.0000 0.0000
Mg 1.3720 0.0000 3.1481
Tl 7.5488 0.0000 0.9213
Ag 4.3544 0.0000 2.4574
```

Results
The value obtained for the formation energy is -0.086 eV per atom. As for the space group: Cm. The total moment is 0.000 μB/atom. As for the density of states at the Fermi level: 1.1 states/eV per cell.



5.
Li5Fe3Sn2O10 after structural relaxation. Source: Alexandria via LeMat-Bulk, functional PBEsol.

```
20
Lattice="5.0323 0.0000 0.0000 0.8754 5.0741 0.0000 2.4527 2.1462 7.3580" Properties=species:S:1:pos:R:3 pbc="T T T"
Li 0.0000 0.0000 0.0000
Li 3.3285 3.8951 0.7028
Li 3.3248 1.0099 2.2494
Li 5.0356 6.2104 5.1086
Li 5.0319 3.3252 6.6552
Fe 1.7028 4.7955 2.9906
Fe 4.1802 3.6102 3.6790
Fe 6.6576 2.4248 4.3674
Sn 0.8679 2.3940 1.4491
Sn 7.4925 4.8263 5.9089
O 1.6289 0.5439 1.2384
O 4.1044 5.3357 7.0765
O 3.3530 5.3758 4.0955
O 3.3221 3.0034 5.3399
O 2.6012 2.9788 2.5928
O 5.7592 4.2415 4.7652
O 5.0383 4.2169 2.0181
O 5.0074 1.8445 3.2625
O 4.2560 1.8846 0.2815
O 6.7315 6.6764 6.1196
```

Results
For the uncorrected formation energy, the calculation gives -1592 meV/atom. As for the space group: P-1. The total moment is 0.450 μB/atom. As for the density of states at the Fermi level: 2.9 states/eV per cell.



6.
AgBi6S9 after structural relaxation. Source: Alexandria via LeMat-Bulk, functional PBEsol.

```
16
Lattice="6.4537 -2.0876 0.0000 6.4537 2.0876 0.0000 -2.4752 0.0000 14.5709" Properties=species:S:1:pos:R:3 pbc="T T T"
Ag 0.0000 0.0000 0.0000
Bi 0.0198 0.0000 4.5134
Bi 0.9173 0.0000 12.8243
Bi 3.4888 0.0000 6.3360
Bi 6.9436 0.0000 8.2349
Bi 9.5150 0.0000 1.7466
Bi 10.4125 0.0000 10.0575
S -1.2376 0.0000 7.2855
S 1.1881 0.0000 2.1560
S 2.1810 0.0000 8.9974
S 4.5843 0.0000 0.5760
S 4.7629 0.0000 3.9258
S 5.6694 0.0000 10.6451
S 5.8481 0.0000 13.9949
S 8.2514 0.0000 5.5735
S 9.2442 0.0000 12.4150
```

Results
For the uncorrected formation energy, the calculation gives -329 meV/atom. As for the space group: C2/m. The total moment is 0.000 μB/atom. As for the density of states at the Fermi level: 1.9 states/eV per cell.



7.
GaSI2O after structural relaxation. Source: Alexandria via LeMat-Bulk, functional PBEsol.

```
5
Lattice="5.6708 0.0000 0.0000 0.0000 5.6708 0.0000 0.0000 0.0000 3.4948" Properties=species:S:1:pos:R:3 pbc="T T T"
Ga 0.0000 0.0000 0.0000
S 2.8354 2.8354 1.7474
I 0.0000 2.8354 0.0000
I 2.8354 0.0000 0.0000
O 0.0000 0.0000 1.7474
```

Results
For the uncorrected formation energy, the calculation gives -12 meV/atom. As for the space group: P4/mmm. The total moment is 0.000 μB/atom. As for the density of states at the Fermi level: 4.5 states/eV per cell.



8.
Fe3Ir after structural relaxation. Source: Alexandria via LeMat-Bulk, functional PBEsol.

```
4
Lattice="1.3965 -2.1528 0.0000 1.3965 2.1528 0.0000 0.0000 0.0000 8.1750" Properties=species:S:1:pos:R:3 pbc="T T T"
Fe 0.0000 0.0000 0.0000
Fe 1.3965 0.0000 1.9425
Fe 1.3965 0.0000 6.2325
Ir 0.0000 0.0000 4.0875
```

Results
The value obtained for the formation energy is 0.142 eV per atom. As for the space group: Cmmm. The total moment is 2.052 μB/atom. As for the density of states at the Fermi level: 3.9 states/eV per cell.